A relaxed structure of VSe2F, computed with PBE with a Hubbard U.

Values from the calculation:
The value obtained for the total energy is -3.712 eV/atom. For the energy above the most stable polymorph in this dataset, the calculation gives 877 meV/atom. Its space group is R-3m, No. 166.

abc: 9.3138 9.3138 9.3138
angles: 18.38 18.38 18.38
Positions (direct):
Se1 0.9069 0.9069 0.9069
Se2 0.0931 0.0931 0.0931
F1 0.5000 0.5000 0.5000
V1 0.0000 0.0000 0.0000